Computed, not measured: crystalline FeCu2F6 at its relaxed geometry at the GGA+U level of DFT.

Output
Space-group type ... C2/c, No. 15
Density of states at the Fermi level ... 3.24 states/eV/f.u.
Calculated total energy ... -82.0 eV for the cell shown
ΔE to the lowest computed polymorph ... 0.060 eV/atom

abc: 6.927 6.927 5.001
angles: 102.82 102.82 97.79
Sites, in units of the cell vectors:
Fe  0.099  0.901  0.750
Fe  0.901  0.099  0.250
Cu  0.266  0.465  0.888
Cu  0.465  0.266  0.388
Cu  0.535  0.734  0.612
Cu  0.734  0.535  0.112
F  0.070  0.186  0.653
F  0.085  0.647  0.851
F  0.186  0.070  0.153
F  0.311  0.484  0.428
F  0.353  0.915  0.649
F  0.484  0.311  0.928
F  0.516  0.689  0.072
F  0.647  0.085  0.351
F  0.689  0.516  0.572
F  0.814  0.930  0.847
F  0.915  0.353  0.149
F  0.930  0.814  0.347